Compound: Co5Sb3
Source: Alexandria
Functional: PBE
Structure: optimized geometry

Computed properties:
- symmetry = Cm (8)
- ρ (g cm⁻³) = 8.83
- total energy (eV per formula unit) = -46.8
- total moment (μB per formula unit) = 0.42
- raw formation energy (kcal/mol of atoms) = 3.077

a = 7.0008 Å, b = 7.0009 Å, c = 6.9980 Å
α = 102.08°, β = 102.08°, γ = 125.53°
Closest atoms and distances in Å follow each position.
Fractional positions:
1 Co 0.1415 0.6419 0.4994  4 Sb 2.50-2.63, 4 Co 2.64-2.65
2 Co 0.1347 0.2755 0.2908  5 Sb 2.53-2.60, 2 Co 2.61-2.64
3 Co 0.9843 0.8445 0.7094  5 Sb 2.54-2.60, 3 Co 2.61-2.84
4 Co 0.3440 0.4847 0.7094  5 Sb 2.54-2.60, 3 Co 2.61-2.84
5 Co 0.2746 0.9843 0.1403  5 Sb 2.53-2.60, 2 Co 2.61-2.65
6 Co 0.8446 0.1354 0.8597  5 Sb 2.53-2.60, 2 Co 2.61-2.64
7 Co 0.6422 0.1426 0.5000  4 Sb 2.50-2.63, 4 Co 2.64-2.65
8 Co 0.7751 0.6351 0.2907  5 Sb 2.53-2.60, 2 Co 2.61-2.64
9 Co 0.4839 0.7750 0.1403  5 Sb 2.53-2.60, 2 Co 2.61-2.64
10 Co 0.6350 0.3450 0.8597  5 Sb 2.53-2.60, 2 Co 2.61-2.64
11 Sb 0.0688 0.5692 0.8215  8 Co 2.50-2.63
12 Sb 0.7467 0.2471 0.1780  8 Co 2.50-2.63
13 Sb 0.2472 0.0692 0.5002  8 Co 2.50-2.63
14 Sb 0.5688 0.7476 0.5002  8 Co 2.50-2.63
15 Sb 0.8007 0.8015 0.0002  8 Co 2.53-2.60
16 Sb 0.3010 0.3012 0.0002  8 Co 2.53-2.60